Compound: TiVC3
Source: the Alexandria database
Functional: PBE
Structure: optimized geometry

Calculated values
energy: -35.757 eV/cell
SG: Pm-3m (221)
energy above the lowest structure with this stoichiometry: 510 meV/atom
calculated volume: 12.3 Å³/atom
magnetization: 2.74 μB per formula unit

a b c (Å): 3.951 3.951 3.951
angles (deg): 90.00 90.00 90.00
Site moments in Bohr magnetons follow the coordinates.
Fractional positions:
C: 0.000 0.500 0.000  0.02
C: 0.000 0.000 0.500  0.02
C: 0.500 0.000 0.000  0.02
V: 0.500 0.500 0.500  2.35
Ti: 0.000 0.000 0.000  -0.02



Compound: Ti5VC3
Source: the Alexandria database
Functional: PBE
Structure: optimized geometry

Calculated values
energy: -163.292 eV/cell
SG: Cmmm (65)
calculated volume: 12.9 Å³/atom
magnetization: 0.00 μB per formula unit

a b c (Å): 3.105 7.130 11.061
angles (deg): 108.80 90.00 90.00
Fractional positions:
Ti: 0.000 0.297 0.000
Ti: 0.000 0.703 0.000
Ti: 0.000 0.037 0.670
Ti: 0.500 0.268 0.537
Ti: 0.500 0.932 0.865
Ti: 0.000 0.633 0.670
Ti: 0.000 0.367 0.330
Ti: 0.500 0.068 0.135
Ti: 0.500 0.732 0.463
Ti: 0.000 0.963 0.330
V: 0.500 0.402 0.804
V: 0.500 0.598 0.196
C: 0.000 0.000 0.000
C: 0.500 0.500 0.000
C: 0.000 0.338 0.676
C: 0.500 0.168 0.336
C: 0.500 0.832 0.664
C: 0.000 0.662 0.324



Compound: Ti2VC2
Source: the Alexandria database
Functional: PBE
Structure: optimized geometry

Calculated values
energy: -93.072 eV/cell
SG: C2/m (12)
calculated volume: 11.6 Å³/atom
magnetization: 0.00 μB per formula unit

a b c (Å): 4.332 5.267 5.999
angles (deg): 109.37 90.00 114.29
Fractional positions:
Ti: 0.333 0.666 0.418
Ti: 0.666 0.332 0.579
Ti: 0.987 0.975 0.253
Ti: 0.012 0.023 0.743
V: 0.653 0.305 0.093
V: 0.346 0.693 0.903
C: 0.829 0.659 0.409
C: 0.170 0.339 0.587
C: 0.504 0.008 0.759
C: 0.495 0.990 0.238



Compound: TiVC2
Source: the Alexandria database
Functional: PBE
Structure: optimized geometry

Calculated values
energy: -37.153 eV/cell
SG: R3m (160)
calculated volume: 9.8 Å³/atom
magnetization: 0.00 μB per formula unit

a b c (Å): 2.971 2.971 5.415
angles (deg): 74.08 74.08 60.00
Fractional positions:
Ti: 0.672 0.672 0.984
V: 0.497 0.497 0.510
C: 0.085 0.085 0.746
C: 0.247 0.247 0.260



Compound: Ti2V2C3
Source: the Alexandria database
Functional: PBE
Structure: optimized geometry

Calculated values
energy: -66.529 eV/cell
SG: C2/m (12)
energy above the lowest structure with this stoichiometry: 0 meV/atom
calculated volume: 10.9 Å³/atom
magnetization: 0.00 μB per formula unit

a b c (Å): 3.032 5.138 5.267
angles (deg): 103.25 106.73 90.00
Fractional positions:
Ti: 0.620 0.868 0.240
Ti: 0.380 0.132 0.760
V: 0.858 0.647 0.716
V: 0.142 0.353 0.284
C: 0.000 0.000 0.000
C: 0.753 0.256 0.505
C: 0.247 0.744 0.495



Compound: Ti5VC4
Source: the Alexandria database
Functional: PBE
Structure: optimized geometry

Calculated values
energy: -91.956 eV/cell
SG: C2/m (12)
calculated volume: 11.8 Å³/atom
magnetization: 0.00 μB per formula unit

a b c (Å): 3.061 6.049 6.756
angles (deg): 104.08 103.09 90.00
Fractional positions:
Ti: 0.837 0.676 0.675
Ti: 0.836 0.149 0.671
Ti: 0.164 0.851 0.329
Ti: 0.500 0.500 0.000
Ti: 0.163 0.324 0.325
V: 0.500 0.000 0.000
C: 0.331 0.906 0.663
C: 0.999 0.751 0.998
C: 0.669 0.094 0.337
C: 0.001 0.249 0.002



Compound: Ti2V3C4
Source: the Alexandria database
Functional: PBE
Structure: optimized geometry

Calculated values
energy: -85.665 eV/cell
SG: C2/m (12)
calculated volume: 10.4 Å³/atom
magnetization: 0.00 μB per formula unit

a b c (Å): 2.969 5.140 6.716
angles (deg): 74.65 77.23 73.21
Fractional positions:
Ti: 0.603 0.185 0.609
Ti: 0.397 0.815 0.391
V: 0.000 0.000 0.000
V: 0.211 0.396 0.182
V: 0.789 0.604 0.818
C: 0.798 0.106 0.298
C: 0.202 0.894 0.702
C: 0.398 0.304 0.901
C: 0.602 0.696 0.099



Compound: TiV5C4
Source: the Alexandria database
Functional: PBE
Structure: optimized geometry

Calculated values
energy: -95.404 eV/cell
SG: C2/m (12)
calculated volume: 10.7 Å³/atom
magnetization: 0.00 μB per formula unit

a b c (Å): 2.941 5.911 6.541
angles (deg): 105.58 102.99 90.00
Fractional positions:
Ti: 0.500 0.000 0.000
V: 0.829 0.672 0.657
V: 0.837 0.148 0.673
V: 0.163 0.852 0.327
V: 0.500 0.500 0.000
V: 0.171 0.328 0.343
C: 0.328 0.905 0.655
C: 0.993 0.736 0.987
C: 0.672 0.095 0.345
C: 0.007 0.264 0.013